1.
The following is a DFT calculation (GGA-PBEsol) of an optimized crystal structure of SrAlHg.

Properties
ΔH_f (0 K) = -0.4060 eV per atom
Offset from the most stable computed form = 0 meV per atom
Raw total energy = -2.5723 eV/atom
DOS at the Fermi energy = 0.51 states/eV per atom

a = 3.9507 Å, b = 4.7606 Å, c = 4.7606 Å
α = 120.00°, β = 90.00°, γ = 90.00°
Positions (direct):
Hg 0.0000 0.6667 0.3333
Al 0.0000 0.0000 0.0000
Sr 0.5000 0.3333 0.6667

=====

2.
The following is a DFT calculation (GGA-PBEsol) of an optimized crystal structure of SrAl2Hg.

Properties
ΔH_f (0 K) = -0.1218 eV per atom
Offset from the most stable computed form = 78 meV per atom
Raw total energy = -2.7693 eV/atom
DOS at the Fermi energy = 0.33 states/eV per atom

a = 4.9054 Å, b = 5.0728 Å, c = 5.0728 Å
α = 61.68°, β = 61.09°, γ = 61.09°
Positions (direct):
Hg 0.4874 0.5126 0.5126
Al 0.0151 0.9849 0.9849
Al 0.7460 0.7540 0.7540
Sr 0.2514 0.2486 0.2486

=====

3.
The following is a DFT calculation (GGA-PBEsol) of an optimized crystal structure of SrAl2Hg2.

Properties
ΔH_f (0 K) = -0.3729 eV per atom
Raw total energy = -2.6043 eV/atom
DOS at the Fermi energy = 0.37 states/eV per atom

a = 4.3323 Å, b = 4.3323 Å, c = 6.8166 Å
α = 108.53°, β = 108.53°, γ = 90.00°
Positions (direct):
Sr 0.0000 0.0000 0.0000
Al 0.7500 0.2500 0.5000
Al 0.2500 0.7500 0.5000
Hg 0.3833 0.3833 0.7666
Hg 0.6167 0.6167 0.2334

=====

4.
The following is a DFT calculation (GGA-PBEsol) of an optimized crystal structure of Sr2AlHg.

Properties
ΔH_f (0 K) = -0.1488 eV per atom
Offset from the most stable computed form = 181 meV per atom
Raw total energy = -2.2336 eV/atom
DOS at the Fermi energy = 0.76 states/eV per atom

a = 4.8180 Å, b = 4.8180 Å, c = 6.0378 Å
α = 113.51°, β = 113.51°, γ = 90.00°
Positions (direct):
Hg 0.2500 0.7500 0.5000
Sr 0.0000 0.0000 0.0000
Sr 0.7500 0.2500 0.5000
Al 0.5000 0.5000 0.0000

=====

5.
The following is a DFT calculation (GGA-PBEsol) of an optimized crystal structure of SrAl2Hg.

Properties
ΔH_f (0 K) = -0.1994 eV per atom
Offset from the most stable computed form = 0 meV per atom
Raw total energy = -2.8470 eV/atom
DOS at the Fermi energy = 0.45 states/eV per atom

a = 4.4449 Å, b = 4.4449 Å, c = 6.4038 Å
α = 69.69°, β = 69.69°, γ = 60.00°
Positions (direct):
Sr 0.5000 0.5000 0.5000
Hg 0.0000 0.0000 0.0000
Al 0.7125 0.7125 0.8624
Al 0.2875 0.2875 0.1376

=====

6.
The following is a DFT calculation (GGA-PBEsol) of an optimized crystal structure of TaAl3Hg.

Properties
ΔH_f (0 K) = 0.9775 eV per atom
Raw total energy = -4.1010 eV/atom
DOS at the Fermi energy = 1.24 states/eV per atom

a = 5.0349 Å, b = 5.0349 Å, c = 5.0349 Å
α = 90.00°, β = 90.00°, γ = 90.00°
Positions (direct):
Al 0.0000 0.0000 0.5000
Al 0.5000 0.0000 0.0000
Al 0.0000 0.5000 0.0000
Hg 0.5000 0.5000 0.5000
Ta 0.0000 0.0000 0.0000

=====

7.
The following is a DFT calculation (GGA-PBEsol) of an optimized crystal structure of AlTcHg3.

Properties
ΔH_f (0 K) = 0.9431 eV per atom
Raw total energy = -2.4686 eV/atom
DOS at the Fermi energy = 0.84 states/eV per atom

a = 5.1684 Å, b = 5.1684 Å, c = 5.1684 Å
α = 90.00°, β = 90.00°, γ = 90.00°
Positions (direct):
Hg 0.0000 0.0000 0.5000
Hg 0.0000 0.5000 0.0000
Hg 0.5000 0.0000 0.0000
Al 0.5000 0.5000 0.5000
Tc 0.0000 0.0000 0.0000

=====

8.
The following is a DFT calculation (GGA-PBEsol) of an optimized crystal structure of AlTc4Hg.

Properties
ΔH_f (0 K) = 0.4090 eV per atom
Raw total energy = -7.8783 eV/atom
DOS at the Fermi energy = 0.71 states/eV per atom

a = 5.1102 Å, b = 5.1102 Å, c = 5.1102 Å
α = 60.00°, β = 60.00°, γ = 60.00°
Positions (direct):
Hg 0.0000 0.0000 0.0000
Tc 0.6250 0.1251 0.6250
Tc 0.6250 0.6250 0.6250
Tc 0.1251 0.6250 0.6250
Tc 0.6250 0.6250 0.1251
Al 0.2500 0.2500 0.2500

=====

9.
The following is a DFT calculation (GGA-PBEsol) of an optimized crystal structure of Al2TcHg.

Properties
ΔH_f (0 K) = -0.1789 eV per atom
Raw total energy = -5.1829 eV/atom
DOS at the Fermi energy = 0.42 states/eV per atom

a = 3.2505 Å, b = 3.2505 Å, c = 5.9216 Å
α = 90.00°, β = 90.00°, γ = 90.00°
Positions (direct):
Al 0.0000 0.0000 0.7133
Al 0.0000 0.0000 0.2867
Hg 0.5000 0.5000 0.0000
Tc 0.5000 0.5000 0.5000

=====

10.
The following is a DFT calculation (GGA-PBEsol) of an optimized crystal structure of Al2TcHg.

Properties
ΔH_f (0 K) = -0.0405 eV per atom
Raw total energy = -5.0446 eV/atom
DOS at the Fermi energy = 0.51 states/eV per atom

a = 3.9195 Å, b = 3.9688 Å, c = 4.9065 Å
α = 113.86°, β = 113.54°, γ = 90.00°
Positions (direct):
Al 0.7504 0.7504 0.5008
Al 0.2496 0.2496 0.4992
Tc 0.5000 0.0000 0.0000
Hg 0.0000 0.5000 0.0000

=====

11.
The following is a DFT calculation (GGA-PBEsol) of an optimized crystal structure of AlTcHg.

Properties
ΔH_f (0 K) = 0.2499 eV per atom
Raw total energy = -5.0583 eV/atom
DOS at the Fermi energy = 0.52 states/eV per atom

a = 2.7766 Å, b = 4.4605 Å, c = 4.4605 Å
α = 120.00°, β = 90.00°, γ = 90.00°
Positions (direct):
Tc 0.3311 0.6667 0.3333
Al 0.8395 0.0000 0.0000
Hg 0.8295 0.3333 0.6667

=====

12.
The following is a DFT calculation (GGA-PBEsol) of an optimized crystal structure of Al2TlTcHg.

Properties
ΔH_f (0 K) = 1.6767 eV per atom
Raw total energy = -2.8526 eV/atom
DOS at the Fermi energy = 0.65 states/eV per atom

a = 5.0653 Å, b = 5.0653 Å, c = 5.3721 Å
α = 90.00°, β = 90.00°, γ = 90.00°
Positions (direct):
Tc 0.5000 0.5000 0.5000
Al 0.5000 0.0000 0.0000
Al 0.0000 0.5000 0.0000
Hg 0.0000 0.0000 0.5000
Tl 0.0000 0.0000 0.0000

=====

13.
The following is a DFT calculation (GGA-PBEsol) of an optimized crystal structure of AlHg2Te.

Properties
Formation energy from raw total energies = 73 meV per atom
Offset from the most stable computed form = 172 meV per atom
Raw total energy = -2.1153 eV/atom
DOS at the Fermi energy = 0.42 states/eV per atom

a = 3.4350 Å, b = 3.4350 Å, c = 8.0951 Å
α = 90.00°, β = 90.00°, γ = 90.00°
Positions (direct):
Hg 0.0000 0.0000 0.9745
Hg 0.5000 0.5000 0.2310
Te 0.0000 0.0000 0.5468
Al 0.5000 0.5000 0.7477

=====

14.
The following is a DFT calculation (GGA-PBEsol) of an optimized crystal structure of Al2HgTe.

Properties
Formation energy from raw total energies = 58 meV per atom
Raw total energy = -3.0107 eV/atom
DOS at the Fermi energy = 0.38 states/eV per atom

a = 3.7144 Å, b = 4.2558 Å, c = 6.3047 Å
α = 109.72°, β = 107.13°, γ = 90.00°
Positions (direct):
Te 0.7100 0.7100 0.4201
Al 0.0099 0.5099 0.0197
Al 0.3025 0.3025 0.6050
Hg 0.4776 0.9776 0.9552

=====

15.
The following is a DFT calculation (GGA-PBEsol) of an optimized crystal structure of AlHgTe2.

Properties
Formation energy from raw total energies = 136 meV per atom
Raw total energy = -2.7915 eV/atom
DOS at the Fermi energy = 0.37 states/eV per atom

a = 3.0171 Å, b = 5.7098 Å, c = 6.2535 Å
α = 90.00°, β = 106.40°, γ = 90.00°
Positions (direct):
Hg 0.5000 0.5000 0.5000
Al 0.5000 0.5000 0.0000
Te 0.7567 0.0000 0.2452
Te 0.2433 0.0000 0.7548

=====

16.
The following is a DFT calculation (GGA-PBEsol) of an optimized crystal structure of AlHgTe2.

Properties
Formation energy from raw total energies = -118 meV per atom
Raw total energy = -3.0454 eV/atom
DOS at the Fermi energy = 0.49 states/eV per atom

a = 7.2892 Å, b = 6.8484 Å, c = 7.2892 Å
α = 57.85°, β = 90.00°, γ = 122.15°
Positions (direct):
Al 0.5000 0.0000 0.5000
Al 0.2500 0.5000 0.2500
Te 0.1651 0.7500 0.8750
Te 0.8750 0.2500 0.5849
Te 0.5849 0.7500 0.3750
Te 0.3750 0.2500 0.1651
Hg 0.0000 0.0000 0.0000
Hg 0.7500 0.5000 0.7500

=====

17.
The following is a DFT calculation (GGA-PBEsol) of an optimized crystal structure of AlHg2Te.

Properties
Formation energy from raw total energies = 68 meV per atom
Offset from the most stable computed form = 167 meV per atom
Raw total energy = -2.1203 eV/atom
DOS at the Fermi energy = 0.30 states/eV per atom

a = 4.0646 Å, b = 4.0646 Å, c = 6.1880 Å
α = 90.00°, β = 90.00°, γ = 90.00°
Positions (direct):
Hg 0.0000 0.5000 0.0000
Hg 0.5000 0.0000 0.0000
Te 0.5000 0.5000 0.5000
Al 0.0000 0.0000 0.5000

=====

18.
The following is a DFT calculation (GGA-PBEsol) of an optimized crystal structure of AlHg2Te.

Properties
Formation energy from raw total energies = 162 meV per atom
Offset from the most stable computed form = 262 meV per atom
Raw total energy = -2.0257 eV/atom
DOS at the Fermi energy = 0.62 states/eV per atom

a = 2.9324 Å, b = 5.6417 Å, c = 5.9318 Å
α = 90.00°, β = 90.00°, γ = 90.00°
Positions (direct):
Al 0.5000 0.5000 0.5000
Hg 0.0000 0.0000 0.7463
Hg 0.0000 0.0000 0.2537
Te 0.5000 0.5000 0.0000

=====

19.
The following is a DFT calculation (GGA-PBEsol) of an optimized crystal structure of Al3HgTe.

Properties
Formation energy from raw total energies = 895 meV per atom
Raw total energy = -2.3788 eV/atom
DOS at the Fermi energy = 0.66 states/eV per atom

a = 5.3256 Å, b = 5.3256 Å, c = 5.3256 Å
α = 90.00°, β = 90.00°, γ = 90.00°
Positions (direct):
Al 0.0000 0.5000 0.0000
Al 0.5000 0.0000 0.0000
Al 0.0000 0.0000 0.5000
Hg 0.5000 0.5000 0.5000
Te 0.0000 0.0000 0.0000

=====

20.
The following is a DFT calculation (GGA-PBEsol) of an optimized crystal structure of AlHgTe.

Properties
Formation energy from raw total energies = 84 meV per atom
Raw total energy = -2.6437 eV/atom
DOS at the Fermi energy = 0.43 states/eV per atom

a = 3.4683 Å, b = 3.4683 Å, c = 6.4157 Å
α = 105.68°, β = 105.68°, γ = 90.00°
Positions (direct):
Hg 0.6475 0.6475 0.2950
Al 0.9930 0.9930 0.9860
Te 0.3595 0.3595 0.7190

=====

21.
The following is a DFT calculation (GGA-PBEsol) of an optimized crystal structure of AlHg2Te.

Properties
Formation energy from raw total energies = -34 meV per atom
Offset from the most stable computed form = 66 meV per atom
Raw total energy = -2.2215 eV/atom
DOS at the Fermi energy = 0.17 states/eV per atom

a = 3.7040 Å, b = 3.7040 Å, c = 8.1226 Å
α = 90.00°, β = 90.00°, γ = 90.00°
Positions (direct):
Hg 0.5000 0.5000 0.2340
Hg 0.0000 0.0000 0.0499
Al 0.5000 0.5000 0.5512
Te 0.0000 0.0000 0.6649

=====

22.
The following is a DFT calculation (GGA-PBEsol) of an optimized crystal structure of AlHg2Te.

Properties
Formation energy from raw total energies = -100 meV per atom
Offset from the most stable computed form = 0 meV per atom
Raw total energy = -2.2874 eV/atom
DOS at the Fermi energy = 0.24 states/eV per atom

a = 3.9462 Å, b = 3.9462 Å, c = 7.8148 Å
α = 75.38°, β = 75.38°, γ = 60.00°
Positions (direct):
Te 0.5158 0.5158 0.4526
Hg 0.7448 0.7448 0.7657
Hg 0.9900 0.9900 0.0301
Al 0.2495 0.2495 0.2516

=====

23.
The following is a DFT calculation (GGA-PBEsol) of an optimized crystal structure of AlHgTe2.

Properties
Formation energy from raw total energies = -140 meV per atom
Raw total energy = -3.0675 eV/atom
DOS at the Fermi energy = 0.29 states/eV per atom

a = 4.0556 Å, b = 4.0556 Å, c = 6.5840 Å
α = 90.00°, β = 90.00°, γ = 90.00°
Positions (direct):
Te 0.5000 0.5000 0.4003
Te 0.0000 0.0000 0.9210
Al 0.0000 0.0000 0.3318
Hg 0.5000 0.5000 0.8469

=====

24.
The following is a DFT calculation (GGA-PBEsol) of an optimized crystal structure of AlHgTe2.

Properties
Formation energy from raw total energies = 54 meV per atom
Raw total energy = -2.8732 eV/atom
DOS at the Fermi energy = 0.43 states/eV per atom

a = 3.2281 Å, b = 4.8871 Å, c = 7.5347 Å
α = 108.92°, β = 102.37°, γ = 90.00°
Positions (direct):
Te 0.3381 0.3381 0.6763
Te 0.6619 0.6619 0.3237
Hg 0.5000 0.0000 0.0000
Al 0.0000 0.5000 0.0000

=====

25.
The following is a DFT calculation (GGA-PBEsol) of an optimized crystal structure of TiAlHg3.

Properties
ΔH_f (0 K) = 0.7332 eV per atom
Raw total energy = -2.0897 eV/atom
DOS at the Fermi energy = 1.05 states/eV per atom

a = 5.2223 Å, b = 5.2223 Å, c = 5.2223 Å
α = 90.00°, β = 90.00°, γ = 90.00°
Positions (direct):
Al 0.5000 0.5000 0.5000
Hg 0.5000 0.0000 0.0000
Hg 0.0000 0.0000 0.5000
Hg 0.0000 0.5000 0.0000
Ti 0.0000 0.0000 0.0000

=====

26.
The following is a DFT calculation (GGA-PBEsol) of an optimized crystal structure of Ti2AlHg.

Properties
ΔH_f (0 K) = -0.1350 eV per atom
Offset from the most stable computed form = 0 meV per atom
Raw total energy = -5.4608 eV/atom
DOS at the Fermi energy = 1.17 states/eV per atom

a = 4.5808 Å, b = 4.5808 Å, c = 4.5808 Å
α = 60.00°, β = 60.00°, γ = 60.00°
Positions (direct):
Al 0.0000 0.0000 0.0000
Hg 0.5000 0.5000 0.5000
Ti 0.7500 0.7500 0.7500
Ti 0.2500 0.2500 0.2500

=====

27.
The following is a DFT calculation (GGA-PBEsol) of an optimized crystal structure of Ti2AlHg.

Properties
ΔH_f (0 K) = 0.1894 eV per atom
Offset from the most stable computed form = 324 meV per atom
Raw total energy = -5.1363 eV/atom
DOS at the Fermi energy = 1.02 states/eV per atom

a = 5.3519 Å, b = 5.8601 Å, c = 5.8601 Å
α = 77.96°, β = 62.83°, γ = 62.83°
Positions (direct):
Ti 0.8750 0.5011 0.9989
Ti 0.1261 0.9989 0.4989
Ti 0.3750 0.4989 0.0011
Ti 0.6239 0.0011 0.5011
Hg 0.0000 0.0000 0.0000
Hg 0.7500 0.5000 0.5000
Al 0.5000 0.0000 0.0000
Al 0.2500 0.5000 0.5000

=====

28.
The following is a DFT calculation (GGA-PBEsol) of an optimized crystal structure of Al2HgW.

Properties
ΔH_f (0 K) = 0.1737 eV per atom
Raw total energy = -5.4657 eV/atom
DOS at the Fermi energy = 0.43 states/eV per atom

a = 2.8213 Å, b = 4.8148 Å, c = 4.8414 Å
α = 90.00°, β = 90.00°, γ = 90.00°
Positions (direct):
Hg 0.0000 0.5196 0.0000
Al 0.5000 0.0171 0.0000
Al 0.0000 0.2220 0.5000
W 0.5000 0.7413 0.5000

=====

29.
The following is a DFT calculation (GGA-PBEsol) of an optimized crystal structure of AlHg3W.

Properties
ΔH_f (0 K) = 1.4559 eV per atom
Raw total energy = -2.4640 eV/atom
DOS at the Fermi energy = 0.69 states/eV per atom

a = 4.9882 Å, b = 4.9882 Å, c = 4.9882 Å
α = 90.00°, β = 90.00°, γ = 90.00°
Positions (direct):
W 0.5000 0.5000 0.5000
Hg 0.0000 0.5000 0.0000
Hg 0.5000 0.0000 0.0000
Hg 0.0000 0.0000 0.5000
Al 0.0000 0.0000 0.0000

=====

30.
The following is a DFT calculation (GGA-PBEsol) of an optimized crystal structure of AlHgW3.

Properties
ΔH_f (0 K) = 1.9649 eV per atom
Offset from the most stable computed form = 0 meV per atom
Raw total energy = -7.2512 eV/atom
DOS at the Fermi energy = 1.08 states/eV per atom

a = 4.5175 Å, b = 4.5175 Å, c = 4.5175 Å
α = 90.00°, β = 90.00°, γ = 90.00°
Positions (direct):
W 0.0000 0.0000 0.5000
W 0.5000 0.0000 0.0000
W 0.0000 0.5000 0.0000
Hg 0.5000 0.5000 0.5000
Al 0.0000 0.0000 0.0000